# RbAlCo

A geometry-optimized RbAlCo structure (PBE, OQMD).

Calculated values
Calculated density: 3.7 g cm⁻³
Polymorph energy (0 for the lowest one): 0 meV per atom
E_tot: -8.5 eV per formula unit
Magnetic moment: 0.8 Bohr magnetons per cell

Cell lengths 4.7826, 4.7826, 4.7826 Å; angles 60.00, 60.00, 60.00 degrees
Last column: nearest neighbours and their distance in Å.
Positions (direct):
Rb (0.0000, 0.0000, 0.0000)  4 Co 2.93
Al (0.5000, 0.5000, 0.5000)  4 Co 2.93
Co (0.7500, 0.7500, 0.7500)  4 Rb 2.93, 4 Al 2.93